(1)
The following is a DFT calculation (PBE) of a geometry-optimized AcPr2Sb structure.

Values from the calculation:
The calculation puts the uncorrected formation energy at -435 meV per atom. As for the calculated total energy: -19.5 eV per cell. The total magnetization comes out at 0.07 μB per formula unit.

a b c (Å): 4.2346 4.2346 10.2891
angles (deg): 78.12 78.12 60.00
Positions (direct):
Ac1 0.5002 0.5002 0.4993
Pr1 0.0649 0.0649 0.8052
Pr2 0.2684 0.2684 0.1948
Sb1 0.6664 0.6664 0.0007

***

(2)
The following is a DFT calculation (PBE) of a geometry-optimized Ac3PrSb3 structure.

Values from the calculation:
The calculation puts the uncorrected formation energy at -908 meV per atom. As for the calculated total energy: -35.8 eV per cell. The total magnetization comes out at 0.00 μB per formula unit.

a b c (Å): 6.5960 6.5960 6.5960
angles (deg): 90.00 90.00 90.00
Positions (direct):
Ac1 0.0000 0.5000 0.0000
Ac2 0.0000 0.0000 0.5000
Ac3 0.5000 0.0000 0.0000
Pr1 0.5000 0.5000 0.5000
Sb1 0.5000 0.0000 0.5000
Sb2 0.5000 0.5000 0.0000
Sb3 0.0000 0.5000 0.5000

***

(3)
The following is a DFT calculation (PBE) of a geometry-optimized AcPr2Sb structure.

Values from the calculation:
The calculation puts the uncorrected formation energy at -512 meV per atom. As for the calculated total energy: -19.8 eV per cell. The total magnetization comes out at 0.00 μB per formula unit.

a b c (Å): 5.0074 5.1089 5.1089
angles (deg): 90.00 90.00 90.00
Positions (direct):
Pr1 0.0000 0.0000 0.5000
Pr2 0.0000 0.5000 0.0000
Sb1 0.5000 0.0000 0.0000
Ac1 0.5000 0.5000 0.5000

***

(4)
The following is a DFT calculation (PBE) of a geometry-optimized AcPrSbSe structure.

Values from the calculation:
The calculation puts the uncorrected formation energy at -1215 meV per atom. As for the calculated total energy: -42.7 eV per cell. The total magnetization comes out at 0.02 μB per formula unit.

a b c (Å): 5.2244 5.2244 10.5070
angles (deg): 90.00 90.00 90.00
Positions (direct):
Ac1 0.0000 0.5000 0.8508
Ac2 0.5000 0.0000 0.1492
Pr1 0.0000 0.0000 0.5000
Pr2 0.5000 0.5000 0.5000
Sb1 0.5000 0.0000 0.6775
Sb2 0.0000 0.5000 0.3225
Se1 0.5000 0.5000 0.0000
Se2 0.0000 0.0000 0.0000

***

Number 1: density of states at the Fermi level 3.8 states/eV per cell. Number 2: density of states at the Fermi level 5.7 states/eV per cell. Number 3: density of states at the Fermi level 3.8 states/eV per cell. Number 4: density of states at the Fermi level 4.6 states/eV per cell.